The following is a DFT calculation (GGA-PBE) of a geometry-optimized Sm3Si2Ge2Pd4 structure.

a = 12.7515 Å, b = 12.7515 Å, c = 12.7515 Å
α = 161.49°, β = 160.52°, γ = 27.00°
Closest atoms and distances in Å follow each position.
Element x y z (fractional)
Sm: 0.1483 0.6483 0.5000  2 Ge 3.18, 8 Pd 3.21-3.31, 4 Si 3.21
Sm: 0.8517 0.3517 0.5000  2 Ge 3.18, 8 Pd 3.21-3.31, 4 Si 3.21
Sm: 0.5000 0.5000 0.0000  4 Pd 3.22, 8 Ge 3.23
Pd: 0.2504 0.2504 0.0000  4 Si 2.43-2.53
Pd: 0.3997 0.8997 0.5000  1 Si 2.40, 2 Ge 2.49
Pd: 0.7496 0.7496 0.0000  4 Si 2.43-2.53
Pd: 0.6003 0.1003 0.5000  1 Si 2.40, 2 Ge 2.49
Si: 0.6971 0.1971 0.5000  5 Pd 2.40-2.53
Si: 0.3029 0.8029 0.5000  5 Pd 2.40-2.53
Ge: 0.9498 0.9498 0.0000  1 Ge 2.49, 2 Pd 2.49
Ge: 0.0502 0.0502 0.0000  1 Ge 2.49, 2 Pd 2.49

Output
Energy: -5.931 eV per atom
SG: Immm (71)

***

The following is a DFT calculation (GGA-PBE) of a geometry-optimized SmSiGePd2 structure.

a = 4.2744 Å, b = 4.2744 Å, c = 10.1188 Å
α = 90.00°, β = 90.00°, γ = 90.00°
Closest atoms and distances in Å follow each position.
Element x y z (fractional)
Pd: 0.0000 0.0000 0.0000  4 Si 2.49
Pd: 0.5000 0.5000 0.0000  4 Si 2.49
Pd: 0.0000 0.5000 0.3617  1 Si 2.39, 4 Ge 2.55
Pd: 0.5000 0.0000 0.6383  1 Si 2.39, 4 Ge 2.55
Sm: 0.0000 0.5000 0.7507  8 Pd 3.23-3.31, 4 Si 3.27, 4 Ge 3.32
Sm: 0.5000 0.0000 0.2493  8 Pd 3.23-3.31, 4 Si 3.27, 4 Ge 3.32
Ge: 0.5000 0.5000 0.5000  4 Pd 2.55
Ge: 0.0000 0.0000 0.5000  4 Pd 2.55
Si: 0.5000 0.0000 0.8744  5 Pd 2.39-2.49
Si: 0.0000 0.5000 0.1256  5 Pd 2.39-2.49

Output
Energy: -5.890 eV per atom
SG: P4/nmm (129)

***

| no. | total magnetization (μB per cell) |
| --- | --- |
| 1 | 0.01 |
| 2 | 0.00 |